No. 1
Compound: UGeSe3
Source: Alexandria
Functional: GGA-PBE
Structure: relaxed

a = 10.604 Å, b = 4.019 Å, c = 15.240 Å
α = 90.00°, β = 90.00°, γ = 90.00°
Sites, in units of the cell vectors:
U 0.160 0.250 0.044
U 0.340 0.750 0.544
U 0.660 0.250 0.456
U 0.840 0.750 0.956
Ge 0.065 0.250 0.628
Ge 0.435 0.750 0.128
Ge 0.565 0.250 0.872
Ge 0.935 0.750 0.372
Se 0.004 0.250 0.893
Se 0.174 0.250 0.479
Se 0.193 0.750 0.696
Se 0.307 0.250 0.196
Se 0.326 0.750 0.979
Se 0.496 0.750 0.393
Se 0.504 0.250 0.607
Se 0.674 0.250 0.021
Se 0.693 0.750 0.804
Se 0.807 0.250 0.304
Se 0.826 0.750 0.521
Se 0.996 0.750 0.107

Output
raw formation energy = -17.72 kcal/mol of atoms
symmetry = Pnma, No. 62
V = 32.5 A^3/atom
calculated total energy = -6.0402 eV per atom

=====

No. 2
Compound: TeSe2
Source: Alexandria
Functional: GGA-PBE
Structure: relaxed

a = 8.099 Å, b = 8.099 Å, c = 4.100 Å
α = 90.00°, β = 90.00°, γ = 120.00°
Sites, in units of the cell vectors:
Te 0.000 0.000 0.000
Te 0.333 0.667 0.500
Te 0.667 0.333 0.500
Se 0.000 0.251 0.500
Se 0.000 0.492 0.000
Se 0.251 0.000 0.500
Se 0.492 0.000 0.000
Se 0.508 0.508 0.000
Se 0.749 0.749 0.500

Output
raw formation energy = 7.05 kcal/mol of atoms
symmetry = P-62m, No. 189
V = 25.9 A^3/atom
calculated total energy = -3.0645 eV per atom

=====

No. 3
Compound: Ni4SbPt
Source: Alexandria
Functional: GGA-PBE
Structure: relaxed

a = 6.324 Å, b = 6.324 Å, c = 6.324 Å
α = 118.10°, β = 118.10°, γ = 93.33°
Sites, in units of the cell vectors:
Ni 0.016 0.270 0.028
Ni 0.230 0.758 0.746
Ni 0.258 0.012 0.528
Ni 0.488 0.516 0.246
Ni 0.512 0.484 0.754
Ni 0.742 0.988 0.472
Ni 0.770 0.242 0.254
Ni 0.984 0.730 0.972
Sb 0.375 0.125 0.250
Sb 0.625 0.875 0.750
Pt 0.125 0.375 0.750
Pt 0.875 0.625 0.250

Output
raw formation energy = 4.57 kcal/mol of atoms
symmetry = I4_1/a, No. 88
V = 15.3 A^3/atom
calculated total energy = -5.3498 eV per atom

=====

No. 4
Compound: HfAuS2
Source: Alexandria
Functional: GGA-PBE
Structure: relaxed

a = 6.869 Å, b = 6.869 Å, c = 6.869 Å
α = 128.94°, β = 128.94°, γ = 75.10°
Sites, in units of the cell vectors:
Hf 0.000 0.000 0.000
Hf 0.750 0.250 0.500
Au 0.250 0.750 0.500
Au 0.500 0.500 0.000
S 0.109 0.625 0.984
S 0.375 0.359 0.484
S 0.641 0.125 0.016
S 0.875 0.891 0.516

Output
raw formation energy = -13.08 kcal/mol of atoms
symmetry = I-42d, No. 122
V = 23.9 A^3/atom
calculated total energy = -5.9386 eV per atom

=====

No. 5
Compound: AlFePt
Source: Alexandria
Functional: GGA-PBE
Structure: relaxed

a = 4.153 Å, b = 4.153 Å, c = 4.153 Å
α = 60.00°, β = 60.00°, γ = 60.00°
Sites, in units of the cell vectors:
Al 0.000 0.000 0.000
Fe 0.500 0.500 0.500
Pt 0.250 0.250 0.250

Output
symmetry = F-43m, No. 216
V = 16.9 A^3/atom
calculated total energy = -6.4717 eV per atom

=====

No. 6
Compound: RbSrFe2
Source: Alexandria
Functional: GGA-PBE
Structure: relaxed

a = 11.404 Å, b = 11.404 Å, c = 11.404 Å
α = 154.59°, β = 154.59°, γ = 36.24°
Sites, in units of the cell vectors:
Rb 0.375 0.625 0.750
Rb 0.625 0.375 0.250
Sr 0.125 0.875 0.250
Sr 0.875 0.125 0.750
Fe 0.000 0.000 0.000
Fe 0.000 0.000 0.500
Fe 0.000 0.500 0.000
Fe 0.500 0.000 0.500

Output
symmetry = I4_1/amd, No. 141
V = 34.1 A^3/atom
calculated total energy = -3.6709 eV per atom

=====

No. 7
Compound: PrNdNb2O8
Source: Alexandria
Functional: GGA-PBE
Structure: relaxed

a = 6.939 Å, b = 6.939 Å, c = 6.939 Å
α = 134.24°, β = 134.24°, γ = 66.71°
Sites, in units of the cell vectors:
Pr 0.000 0.000 0.000
Nd 0.250 0.750 0.500
Nb 0.500 0.500 0.000
Nb 0.750 0.250 0.500
O 0.002 0.088 0.417
O 0.250 0.662 0.086
O 0.338 0.424 0.588
O 0.415 0.998 0.086
O 0.576 0.164 0.914
O 0.671 0.585 0.583
O 0.836 0.750 0.412
O 0.912 0.329 0.914

Output
raw formation energy = -70.37 kcal/mol of atoms
symmetry = I-4, No. 82
V = 14.1 A^3/atom
calculated total energy = -8.8309 eV per atom

=====

No. 8
Compound: MgScAlRu
Source: Alexandria
Functional: GGA-PBE
Structure: relaxed

a = 4.561 Å, b = 4.561 Å, c = 4.561 Å
α = 60.00°, β = 60.00°, γ = 60.00°
Sites, in units of the cell vectors:
Mg 0.000 0.000 0.000
Sc 0.250 0.250 0.250
Al 0.750 0.750 0.750
Ru 0.500 0.500 0.500

Output
symmetry = F-43m, No. 216
V = 16.8 A^3/atom
calculated total energy = -5.5702 eV per atom

=====

No. 9
Compound: TlGe3Pd
Source: Alexandria
Functional: GGA-PBE
Structure: relaxed

a = 4.949 Å, b = 4.949 Å, c = 4.949 Å
α = 90.00°, β = 90.00°, γ = 90.00°
Sites, in units of the cell vectors:
Tl 0.000 0.000 0.000
Ge 0.000 0.500 0.500
Ge 0.500 0.000 0.500
Ge 0.500 0.500 0.000
Pd 0.500 0.500 0.500

Output
symmetry = Pm-3m, No. 221
V = 24.2 A^3/atom
calculated total energy = -4.0319 eV per atom